The following is a DFT calculation (PBE-GGA) of a relaxed Al4FeRe crystal.

Values from the calculation:
**SG**: F-43m, No. 216
**Crystal system**: cubic

a = 4.968 Å, b = 4.968 Å, c = 4.968 Å
α = 60.00°, β = 60.00°, γ = 60.00°
Element x y z (fractional)
Al 0.125 0.125 0.125
Al 0.125 0.125 0.626
Al 0.125 0.626 0.125
Al 0.626 0.125 0.125
Fe 0.750 0.750 0.750
Re 0.500 0.500 0.500

---

The following is a DFT calculation (PBE-GGA) of a relaxed AlFeRe3 crystal.

Values from the calculation:
**SG**: Pm-3m, No. 221
**Crystal system**: cubic

a = 4.379 Å, b = 4.379 Å, c = 4.379 Å
α = 90.00°, β = 90.00°, γ = 90.00°
Element x y z (fractional)
Al 0.000 0.000 0.000
Fe 0.500 0.500 0.500
Re 0.000 0.000 0.500
Re 0.000 0.500 0.000
Re 0.500 0.000 0.000

---

The following is a DFT calculation (PBE-GGA) of a relaxed Al2Fe2Re crystal.

Values from the calculation:
**SG**: P4/mbm, No. 127
**Crystal system**: tetragonal

a = 6.860 Å, b = 6.860 Å, c = 2.733 Å
α = 90.00°, β = 90.00°, γ = 90.00°
Element x y z (fractional)
Al 0.136 0.364 0.000
Al 0.364 0.864 0.000
Al 0.636 0.136 0.000
Al 0.864 0.636 0.000
Fe 0.162 0.662 0.500
Fe 0.338 0.162 0.500
Fe 0.662 0.838 0.500
Fe 0.838 0.338 0.500
Re 0.000 0.000 0.000
Re 0.500 0.500 0.000

---

Table of energy relative to the elements (meV per atom), in record order: 191.2; 2081.6; -8.7